# 1
DFT (PBE) results for a geometry-optimized LuTiTlIn structure.

POSCAR file:
```
LuTiTlIn
1.0
-2.6989 3.7529 -2.0710
-3.9748 -1.0692 -2.9522
-4.6990 0.9437 1.6392
Lu In Ti Tl
1 1 1 1
Cartesian
-8.5295 2.7205 -2.5380 Lu
0.0000 0.0000 0.0000 In
-2.8432 0.9068 -0.8460 Ti
-5.6863 1.8137 -1.6920 Tl
```

## Properties
crystal system = cubic
formation energy from the elements = -61 meV/atom

=====

# 2
DFT (PBE) results for a geometry-optimized KBaLa2 structure.

POSCAR file:
```
KBaLa2
1.0
-2.5201 -1.7306 -2.2415
2.5794 -0.1644 -2.7730
4.0314 -11.6198 4.4387
Ba La K
1 2 1
Cartesian
1.0375 -3.8524 -1.3976 Ba
1.9412 -5.5952 2.1373 La
0.0745 -0.2147 0.0820 La
3.0532 -9.6623 0.8218 K
```

## Properties
crystal system = tetragonal
formation energy from the elements = 348 meV/atom

=====

# 3
DFT (PBE) results for a geometry-optimized KMo3 structure.

POSCAR file:
```
KMo3
1.0
2.6242 0.0000 0.0000
0.0000 4.6265 0.0000
0.0000 0.0000 7.6183
K Mo
1 3
Cartesian
0.0000 0.0000 0.2934 K
0.0000 2.3132 3.0014 Mo
1.3121 0.0000 4.0600 Mo
1.3121 2.3132 5.3425 Mo
```

## Properties
crystal system = orthorhombic
formation energy from the elements = 1054 meV/atom

=====

# 4
DFT (PBE) results for a geometry-optimized Pr6Os2Br3F structure.

POSCAR file:
```
Pr6Os2Br3F
1.0
-5.2582 -4.5865 1.5207
4.2758 -1.1798 -5.5967
5.2296 -2.1671 5.9680
Br Pr Os F
3 6 2 1
Cartesian
5.2711 -2.8421 -1.4037 Br
2.1236 -3.9667 0.9460 Br
-1.0239 -5.0914 3.2957 Br
0.3087 -4.5899 -1.7835 Pr
-0.8397 -2.3820 1.4298 Pr
5.0869 -5.5515 0.4622 Pr
3.9385 -3.3436 3.6755 Pr
2.4341 -1.2122 -1.0142 Pr
1.8130 -6.7213 2.9062 Pr
1.0979 -2.3154 -3.2243 Os
-2.0803 -3.4510 -0.8517 Os
0.0000 0.0000 0.0000 F
```

## Properties
crystal system = monoclinic
uncorrected formation energy = -1.096 eV/atom

=====

# 5
DFT (PBE) results for a geometry-optimized La3Pr4Nd2 structure.

POSCAR file:
```
La3Pr4Nd2
1.0
-4.7232 1.2704 -1.9464
1.0470 -5.5028 -6.1322
-1.1164 -4.2703 7.0405
Nd Pr La
2 4 3
Cartesian
-2.4816 -6.0832 -5.0670 Nd
-2.3111 -2.4196 4.0288 Nd
-2.4029 -1.6012 -2.3326 Pr
-1.1922 -3.4381 0.6489 Pr
-2.3897 -6.9015 1.2944 Pr
-3.6004 -5.0646 -1.6872 Pr
-4.7200 -4.0272 1.7068 La
0.0000 0.0000 0.0000 La
-0.0726 -4.4756 -2.7450 La
```

## Properties
crystal system = monoclinic
formation energy from the elements = 11 meV/atom

=====

# 6
DFT (PBE) results for a geometry-optimized NbCrPS2 structure.

POSCAR file:
```
NbCrPS2
1.0
-4.2256 1.7890 1.0779
-1.4001 -0.6211 -4.4578
-1.6252 -4.5264 1.1411
Cr S Nb P
1 2 1 1
Cartesian
-3.6255 -1.6793 -1.1194 Cr
-2.1128 0.8945 0.5390 S
-0.7000 -0.3106 -2.2289 S
0.0000 0.0000 0.0000 Nb
-0.8126 -2.2632 0.5706 P
```

## Properties
crystal system = tetragonal
uncorrected formation energy = 0.704 eV/atom

=====

Number 1: calculated total energy -4.441 eV per atom, calculated density 9794 kg/m3. Number 2: calculated total energy -2.870 eV per atom, calculated density 4014 kg/m3. Number 3: calculated total energy -7.343 eV per atom, calculated density 5869 kg/m3. Number 4: calculated total energy -5.931 eV per atom, calculated density 7097 kg/m3. Number 5: calculated total energy -4.815 eV per atom, calculated density 6450 kg/m3. Number 6: calculated total energy -5.967 eV per atom, calculated density 3629 kg/m3.